(1)
Here is a geometry-optimized LiBe structure from Alexandria. Energies are from PBE.

```
data_LiBe
_chemical_formula_sum 'Li2 Be2'
_cell_length_a 2.4322
_cell_length_b 2.4322
_cell_length_c 8.7500
_cell_angle_alpha 90.00
_cell_angle_beta 90.00
_cell_angle_gamma 120.00
_symmetry_space_group_name_H-M 'P -3 m 1'
_symmetry_Int_Tables_number 164
_symmetry_space_group_name_Hall '-P 3 2"'
loop_
_atom_site_label
_atom_site_type_symbol
_atom_site_fract_x
_atom_site_fract_y
_atom_site_fract_z
Li1 Li 0.3333 0.6667 0.1437
Be1 Be 0.3333 0.6667 0.6038
```

=====

(2)
Here is a geometry-optimized Pr3Sm6Tm2Tl structure from Alexandria. Energies are from PBE.

```
data_Pr3Sm6Tm2Tl
_chemical_formula_sum 'Pr6 Sm12 Tm4 Tl2'
_cell_length_a 6.254
_cell_length_b 10.868
_cell_length_c 11.786
_cell_angle_alpha 90.00
_cell_angle_beta 100.42
_cell_angle_gamma 90.00
_symmetry_space_group_name_H-M 'C 1 2/m 1'
_symmetry_Int_Tables_number 12
_symmetry_space_group_name_Hall '-C 2y'
loop_
_atom_site_label
_atom_site_type_symbol
_atom_site_fract_x
_atom_site_fract_y
_atom_site_fract_z
Pr1 Pr 0.000 0.000 0.000
Pr2 Pr 0.000 0.331 0.000
Sm1 Sm 0.242 0.336 0.741
Sm2 Sm 0.248 0.500 0.257
Tm1 Tm 0.000 0.166 0.500
Tl1 Tl 0.000 0.500 0.500
```

=====

(3)
Here is a geometry-optimized Rb3Hg3Bi structure from Alexandria. Energies are from PBE.

```
data_Rb3Hg3Bi
_chemical_formula_sum 'Rb12 Hg12 Bi4'
_cell_length_a 13.402
_cell_length_b 5.230
_cell_length_c 18.602
_cell_angle_alpha 90.00
_cell_angle_beta 107.52
_cell_angle_gamma 90.00
_symmetry_space_group_name_H-M 'C 1 2/m 1'
_symmetry_Int_Tables_number 12
_symmetry_space_group_name_Hall '-C 2y'
loop_
_atom_site_label
_atom_site_type_symbol
_atom_site_fract_x
_atom_site_fract_y
_atom_site_fract_z
Rb1 Rb 0.059 0.000 0.277
Rb2 Rb 0.176 0.000 0.576
Rb3 Rb 0.180 0.500 0.088
Hg1 Hg 0.035 0.500 0.427
Hg2 Hg 0.044 0.000 0.936
Hg3 Hg 0.157 0.500 0.719
Bi1 Bi 0.087 0.500 0.864
```

=====

Record-wise E values, in eV/atom: -2.571, -4.500, -1.381
Record-wise DOS at the Fermi energy values, in states/eV/f.u.: 1.4, 15.7, 2.2